1.
The following is a GGA-PBE calculation of an optimized crystal structure of PmEuNiSn, from Alexandria.

Properties
* Fermi-level density of states: 11.767 states/eV/f.u.
* DFT formation energy: -0.33 eV/atom

```
data_PmEuNiSn
_space_group_name_H-M_alt 'F -4 3 m'
_space_group_IT_number 216
_space_group_name_Hall 'F -4 2 3'
_cell_length_a 7.452
_cell_length_b 7.452
_cell_length_c 7.452
_cell_angle_alpha 90.00
_cell_angle_beta 90.00
_cell_angle_gamma 90.00
loop_
_atom_site_label
_atom_site_type_symbol
_atom_site_fract_x
_atom_site_fract_y
_atom_site_fract_z
Pm1 Pm 0.000 0.000 0.000
Eu1 Eu 0.000 0.000 0.500
Ni1 Ni 0.250 0.250 0.750
Sn1 Sn 0.250 0.250 0.250
```



2.
The following is a GGA-PBE calculation of an optimized crystal structure of Cs3La2TbS6, from Alexandria.

Properties
* formation energy without anion corrections: -1.87 eV per atom
* Fermi-level density of states: 0.000 states/eV/f.u.

```
data_Cs3La2TbS6
_space_group_name_H-M_alt 'C 1 2/m 1'
_space_group_IT_number 12
_cell_length_a 7.406
_cell_length_b 12.828
_cell_length_c 8.440
_cell_angle_alpha 90.00
_cell_angle_beta 107.01
_cell_angle_gamma 90.00
loop_
_space_group_symop_operation_xyz
'x,y,z'
'-x,-y,-z'
'-x,y,-z'
'x,-y,z'
'x+1/2,y+1/2,z'
'-x+1/2,-y+1/2,-z'
'-x+1/2,y+1/2,-z'
'x+1/2,-y+1/2,z'
loop_
_atom_site_label
_atom_site_type_symbol
_atom_site_fract_x
_atom_site_fract_y
_atom_site_fract_z
Cs1 Cs 0.000 0.000 0.000
Cs2 Cs 0.000 0.333 0.000
La1 La 0.000 0.167 0.500
Tb1 Tb 0.000 0.500 0.500
S1 S 0.223 0.339 0.685
S2 S 0.239 0.000 0.685
```



3.
The following is a GGA-PBE calculation of an optimized crystal structure of Nd2PPt3, from Alexandria.

Properties
* E above lowest polymorph: 0.0143 eV per atom
* Fermi-level density of states: 3.144 states/eV/f.u.
* DFT formation energy: -1.14 eV/atom

```
data_Nd2PPt3
_space_group_name_H-M_alt 'P m m 2'
_space_group_IT_number 25
_cell_length_a 3.932
_cell_length_b 4.288
_cell_length_c 7.623
_cell_angle_alpha 90.00
_cell_angle_beta 90.00
_cell_angle_gamma 90.00
loop_
_space_group_symop_operation_xyz
'x,y,z'
'-x,-y,z'
'-x,y,z'
'x,-y,z'
loop_
_atom_site_label
_atom_site_type_symbol
_atom_site_fract_x
_atom_site_fract_y
_atom_site_fract_z
Nd1 Nd 0.000 0.000 0.000
Nd2 Nd 0.000 0.500 0.493
P1 P 0.500 0.500 0.813
Pt1 Pt 0.500 0.000 0.333
Pt2 Pt 0.500 0.000 0.688
Pt3 Pt 0.500 0.500 0.122
```



These records have magnetic moment values of 26.2 0.0 0.0 μB/cell, in the order they appear.